Computed, not measured: a relaxed structure of Be2CoH20N2O6F8 at the GGA+U level of DFT.

```
78
Lattice="6.191 -0.031 0.000 -2.737 8.951 0.000 0.000 0.000 12.765" Properties=species:S:1:pos:R:3 pbc="T T T"
N 2.821 3.306 1.712
Be -0.124 5.380 1.904
H -0.796 3.216 8.718
H 2.864 4.108 8.180
Be 1.245 0.904 4.478
F 3.276 4.915 11.534
H 1.918 7.048 1.205
H -0.026 4.868 10.761
F -1.190 8.481 5.152
Be 3.578 3.540 10.861
F 0.286 6.522 0.890
F 0.179 4.005 1.230
H 1.495 8.583 10.967
H 0.676 6.383 10.357
O -0.725 5.962 7.764
F 2.661 3.374 9.607
Co -1.368 4.476 6.382
O 2.964 4.452 7.253
F 4.644 0.439 7.612
H -1.338 6.693 8.018
H 3.112 2.919 0.792
H 0.490 8.166 4.784
O 5.475 1.464 1.387
H 3.286 2.572 5.177
N 1.452 7.782 4.671
H 1.858 3.690 1.598
H -0.390 8.086 0.813
H 1.537 1.872 11.559
H 5.619 1.229 2.335
N 2.002 1.138 8.094
H 5.193 2.024 7.672
O 4.107 5.939 4.995
H 1.744 7.395 5.591
H 1.410 7.013 3.975
H 3.424 6.703 1.636
H 1.342 0.392 8.386
H -1.739 6.896 5.093
H 2.476 5.310 7.195
H 2.112 8.528 4.379
H 1.711 1.525 7.174
O 0.490 4.468 5.512
F 3.169 2.397 11.875
H -2.164 7.691 10.429
O 1.859 -0.008 0.870
H 2.965 0.754 7.981
H 0.978 3.610 5.570
O -2.021 7.456 11.377
F 5.103 3.416 10.468
H 1.959 0.337 1.798
H 4.250 5.704 4.047
O 2.811 7.434 1.382
O 0.644 1.486 11.383
F 2.162 1.071 3.225
H 2.779 2.537 2.407
Co 0.000 0.000 0.000
F 0.794 5.546 3.157
O 4.179 2.958 5.001
H 1.596 5.230 11.166
F 1.654 2.047 5.492
H -0.371 2.421 1.290
F 3.734 7.891 8.679
H 3.480 4.052 2.003
H 4.792 2.227 4.746
F 1.292 7.849 9.540
H 2.044 1.907 8.790
H 0.168 6.348 7.588
O -0.653 2.981 7.770
N 0.634 5.614 11.053
F -0.280 1.029 4.086
F 1.800 6.873 7.272
H 3.825 6.499 11.475
Be 2.210 8.016 8.286
F -1.648 5.504 2.296
H 0.342 6.001 11.973
H 0.591 4.812 4.584
O 1.596 8.928 11.894
H 3.845 0.834 11.952
H 0.031 2.217 11.128
```

Calculated values
* crystal system: monoclinic
* final energy: -5.08 eV per atom
* Fermi-level density of states: 0.00 states/eV/f.u.
* space group: P2_1/c

***

Computed, not measured: a relaxed structure of BeCoHgF6 at the GGA+U level of DFT.

```
18
Lattice="5.081 0.000 0.000 -2.540 4.400 0.000 0.000 0.000 9.870" Properties=species:S:1:pos:R:3 pbc="T T T"
Be 2.540 1.467 2.468
F 1.464 2.853 6.384
Hg 0.000 0.000 0.000
F 3.342 2.694 3.486
F -1.464 2.853 8.421
F 0.662 4.242 8.421
F 4.005 1.547 1.449
Hg 0.000 0.000 4.935
Be 0.000 2.933 7.403
F -0.662 4.242 6.384
F 1.738 2.694 1.449
F 1.076 1.547 3.486
F 1.878 0.158 1.449
F 3.203 0.158 3.486
F 0.802 1.706 8.421
Co 2.540 1.467 7.403
F -0.802 1.706 6.384
Co 0.000 2.933 2.468
```

Calculated values
* crystal system: trigonal
* final energy: -4.33 eV per atom
* Fermi-level density of states: 6.52 states/eV/f.u.
* space group: P-31c

***

Computed, not measured: a relaxed structure of KBe2CoF8 at the GGA+U level of DFT.

```
12
Lattice="-2.676 3.527 1.838 -3.636 -1.037 2.946 2.817 1.310 7.838" Properties=species:S:1:pos:R:3 pbc="T T T"
F 0.972 0.753 7.879
F -3.881 0.063 4.511
K -1.747 1.900 6.311
Be -1.067 0.931 2.910
F -1.335 1.724 9.623
Be -2.428 2.869 9.712
Co 0.000 0.000 0.000
F -0.138 1.022 4.089
F 0.386 3.737 8.111
F -2.160 2.076 2.999
F -3.357 2.778 8.533
F -4.467 3.047 4.743
```

Calculated values
* crystal system: trigonal
* final energy: -5.07 eV per atom
* Fermi-level density of states: 6.75 states/eV/f.u.
* space group: R-3

***

Computed, not measured: a relaxed structure of K2BeCoF6 at the GGA+U level of DFT.

```
10
Lattice="-2.638 -2.958 -3.873 -1.333 -3.772 3.835 -5.284 -1.421 0.745" Properties=species:S:1:pos:R:3 pbc="T T T"
F -6.349 -3.230 0.734
F -7.579 -4.593 -1.103
Be -1.986 -3.365 -0.019
F -3.509 -2.470 0.333
K -4.953 -3.873 -1.567
K -4.303 -4.278 2.274
F -5.747 -5.681 0.373
F -1.676 -3.558 1.810
Co 0.000 0.000 0.000
F -2.906 -4.921 -0.027
```

Calculated values
* crystal system: orthorhombic
* final energy: -4.88 eV per atom
* Fermi-level density of states: 0.00 states/eV/f.u.
* space group: Immm

***

Computed, not measured: a relaxed structure of BeCoNF2 at the GGA+U level of DFT.

```
5
Lattice="3.841 0.000 0.000 0.000 3.841 0.000 0.000 0.000 3.809" Properties=species:S:1:pos:R:3 pbc="T T T"
F 0.000 1.920 0.000
F 1.920 0.000 0.000
Be 1.920 1.920 1.905
Co 0.000 0.000 0.000
N 0.000 0.000 1.905
```

Calculated values
* crystal system: tetragonal
* final energy: -4.28 eV per atom
* Fermi-level density of states: 1.16 states/eV/f.u.
* space group: P4/mmm

***

Computed, not measured: a relaxed structure of BeCoNF2 at the GGA+U level of DFT.

```
5
Lattice="-1.828 -1.269 2.108 0.184 -2.690 -1.459 4.686 -1.421 3.209" Properties=species:S:1:pos:R:3 pbc="T T T"
Co 1.521 -2.689 1.929
F 0.092 -1.345 -0.730
Be 0.000 0.000 0.000
N 2.343 -0.710 1.605
F -0.914 -0.634 1.054
```

Calculated values
* crystal system: tetragonal
* final energy: -5.14 eV per atom
* Fermi-level density of states: 1.66 states/eV/f.u.
* space group: P4/mmm

***

Computed, not measured: a relaxed structure of Na2BeCoF6 at the GGA+U level of DFT.

```
10
Lattice="-2.306 2.417 4.173 -4.767 -1.036 -2.071 -3.575 -2.595 2.894" Properties=species:S:1:pos:R:3 pbc="T T T"
F -7.998 -2.601 2.559
F -6.775 -0.432 3.014
Na -5.945 -1.409 0.982
F -3.873 -0.784 1.982
F -2.650 1.386 2.437
F -8.644 -1.172 4.553
F -2.004 -0.043 0.443
Be -3.536 0.690 1.051
Co 0.000 0.000 0.000
Na -4.703 0.194 4.013
```

Calculated values
* crystal system: triclinic
* final energy: -4.90 eV per atom
* Fermi-level density of states: 0.00 states/eV/f.u.
* space group: P-1

***

Computed, not measured: a relaxed structure of BeCoO2F at the GGA+U level of DFT.

```
5
Lattice="-0.837 2.326 2.408 -3.075 -1.515 0.394 1.369 -2.122 2.527" Properties=species:S:1:pos:R:3 pbc="T T T"
Be 0.000 0.000 0.000
O -1.538 -0.757 0.197
F 0.685 -1.061 1.263
O -0.419 1.163 1.204
Co -1.272 -0.656 2.664
```

Calculated values
* crystal system: tetragonal
* final energy: -5.34 eV per atom
* Fermi-level density of states: 1.69 states/eV/f.u.
* space group: P4/mmm

***

- Which formula does entry 1 have?
  Be2CoH20N2O6F8

***

What did the sixth record say?
Computed, not measured: a relaxed structure of BeCoNF2 at the GGA+U level of DFT.

```
5
Lattice="-1.828 -1.269 2.108 0.184 -2.690 -1.459 4.686 -1.421 3.209" Properties=species:S:1:pos:R:3 pbc="T T T"
Co 1.521 -2.689 1.929
F 0.092 -1.345 -0.730
Be 0.000 0.000 0.000
N 2.343 -0.710 1.605
F -0.914 -0.634 1.054
```

Calculated values
* crystal system: tetragonal
* final energy: -5.14 eV per atom
* Fermi-level density of states: 1.66 states/eV/f.u.
* space group: P4/mmm

***

- Which formula does entry 2 have?
  BeCoHgF6